Computed, not measured: a relaxed structure of Rb2CuNiO4 at the PBE+U level of DFT.

Results
ρ in g/cm3: 3.4
V in Å³/cell: 1405.5
Final energy in hartree per atom: -0.165
Total moment in μB per atom: 0.1267

a b c (Å): 5.4198 13.5583 19.1274
angles (deg): 90.00 90.00 90.00
Space group Fddd (No. 70, origin choice 2)
Inequivalent atoms, fractional coordinates:
Rb (0.1250, 0.1250, 0.2937) [16 per cell]
Cu (0.1250, 0.1250, 0.1250) [8 per cell]
Ni (0.1250, 0.1250, 0.6250) [8 per cell]
O (0.1237, 0.2838, 0.8720) [32 per cell]